(1)
{
  "formula": "YSn",
  "functional": "GGA-PBE",
  "state": "relaxed",
  "lattice_angstrom": [[8.389, 0.000, 0.000], [-4.194, 7.265, 0.000], [0.000, 0.000, 6.111]],
  "species": ["Y", "Y", "Y", "Y", "Y", "Y", "Sn", "Sn", "Sn", "Sn", "Sn", "Sn"],
  "fractional_positions": [[0.075, 0.783, 0.250], [0.217, 0.292, 0.250], [0.292, 0.075, 0.750], [0.708, 0.925, 0.250], [0.783, 0.708, 0.750], [0.925, 0.217, 0.750], [0.118, 0.650, 0.750], [0.350, 0.468, 0.750], [0.468, 0.118, 0.250], [0.532, 0.882, 0.750], [0.650, 0.532, 0.250], [0.882, 0.350, 0.250]],
  "delta_e_f_ev_per_atom": -0.3551
}

(2)
{
  "formula": "Sm2SiS",
  "functional": "GGA-PBE",
  "state": "relaxed",
  "lattice_angstrom": [[4.193, 0.000, 0.000], [0.000, 22.274, 0.000], [0.000, 0.000, 3.958]],
  "species": ["Sm", "Sm", "Sm", "Sm", "Sm", "Sm", "Sm", "Sm", "Si", "Si", "Si", "Si", "S", "S", "S", "S"],
  "fractional_positions": [[0.000, 0.067, 0.250], [0.000, 0.316, 0.250], [0.000, 0.684, 0.750], [0.000, 0.933, 0.750], [0.500, 0.184, 0.750], [0.500, 0.433, 0.750], [0.500, 0.567, 0.250], [0.500, 0.816, 0.250], [0.000, 0.463, 0.250], [0.000, 0.537, 0.750], [0.500, 0.037, 0.750], [0.500, 0.963, 0.250], [0.000, 0.191, 0.250], [0.000, 0.809, 0.750], [0.500, 0.309, 0.750], [0.500, 0.691, 0.250]],
  "e_form_raw_ev_per_atom": -1.41,
  "relative_energy_ev_per_atom": 0.000
}

(3)
{
  "formula": "Y2AsOs",
  "functional": "GGA-PBE",
  "state": "relaxed",
  "lattice_angstrom": [[4.093, 0.000, 0.000], [0.000, 4.093, 0.000], [0.000, 0.000, 10.211]],
  "species": ["Y", "Y", "Y", "Y", "As", "As", "Os", "Os"],
  "fractional_positions": [[0.000, 0.000, 0.000], [0.000, 0.500, 0.250], [0.500, 0.000, 0.750], [0.500, 0.500, 0.500], [0.000, 0.500, 0.750], [0.500, 0.000, 0.250], [0.000, 0.000, 0.500], [0.500, 0.500, 0.000]],
  "delta_e_f_ev_per_atom": -0.3088,
  "relative_energy_ev_per_atom": 0.373
}

Table of DOS(E_F) (states/eV/f.u.), in record order: 1.73; 1.98; 4.85
Table of volume (Å³ per cell), in record order: 372; 370; 171